1.
Below is a relaxed MgAl2Re crystal, with properties calculated at the GGA-PBEsol level.

POSCAR file:
```
MgAl2Re
1.0
5.4597 0.0000 0.0000
2.7298 5.0976 0.0000
2.7298 0.0000 5.0976
Re Mg Al
2 2 4
direct
0.7500 0.5000 0.5000
0.0000 0.0000 0.0000
0.5000 0.0000 0.0000
0.2500 0.5000 0.5000
0.0931 0.0319 0.5319
0.6569 0.9681 0.4681
0.3750 0.5319 0.9681
0.8750 0.4681 0.0319
```

**E**: -5.2378 eV/atom

2.
Below is a relaxed MgAlRe crystal, with properties calculated at the GGA-PBEsol level.

POSCAR file:
```
MgAlRe
1.0
2.7354 0.0104 0.0000
-0.8289 2.6068 0.0000
-0.9532 -1.3086 6.6619
Al Re Mg
1 1 1
direct
0.0102 0.0102 0.0204
0.6612 0.6612 0.3225
0.3286 0.3286 0.6572
```

**E**: -6.2204 eV/atom

3.
Below is a relaxed MgAlRe crystal, with properties calculated at the GGA-PBEsol level.

POSCAR file:
```
MgAlRe
1.0
-0.3183 2.5453 1.2286
-2.2784 -1.4224 -0.9355
-0.6201 -3.0307 6.1181
Re Al Mg
1 1 1
direct
0.6667 0.3333 0.3233
0.0000 0.0000 0.0187
0.3333 0.6667 0.6580
```

**E**: -6.1795 eV/atom

4.
Below is a relaxed MgAlRe crystal, with properties calculated at the GGA-PBEsol level.

POSCAR file:
```
MgAlRe
1.0
-0.0653 0.2770 2.6786
3.3288 -2.4042 0.3298
0.8192 4.4177 -1.7912
Re Mg Al
1 1 1
direct
0.3402 0.3402 0.6805
0.6691 0.6691 0.3382
0.9906 0.9906 0.9813
```

**E**: -6.2522 eV/atom

> Among the records above, which one has the lowest E?

number 4